No. 1
Below is a relaxed Li2DyCoO4 crystal, with properties calculated at the PBE with a Hubbard U level.

Lattice parameters (Å, degrees): 3.239 5.891 9.584 90.00 90.00 105.96
Fractional positions:
Li: 0.404 0.807 0.538
Li: 0.596 0.193 0.038
Li: 0.596 0.193 0.462
Li: 0.404 0.807 0.962
Dy: 0.071 0.141 0.750
Dy: 0.929 0.859 0.250
Co: 0.801 0.602 0.750
Co: 0.199 0.398 0.250
O: 0.311 0.623 0.121
O: 0.689 0.377 0.621
O: 0.689 0.377 0.879
O: 0.311 0.623 0.379
O: 0.000 0.000 0.500
O: 0.000 0.000 0.000
O: 0.416 0.832 0.750
O: 0.584 0.168 0.250


No. 2
Below is a relaxed LiDy2Co2O6 crystal, with properties calculated at the PBE with a Hubbard U level.

Lattice parameters (Å, degrees): 5.748 5.748 6.248 62.61 62.61 60.00
Fractional positions:
Li: 0.000 0.000 0.000
Dy: 0.811 0.811 0.566
Dy: 0.189 0.189 0.434
Co: 0.412 0.412 0.765
Co: 0.588 0.588 0.235
O: 0.752 0.752 0.280
O: 0.216 0.752 0.280
O: 0.752 0.216 0.280
O: 0.248 0.784 0.720
O: 0.784 0.248 0.720
O: 0.248 0.248 0.720


Number 1: raw total energy -97.53 eV for the cell shown, calculated density 5.7 g cm⁻³. Number 2: raw total energy -70.69 eV for the cell shown, calculated density 6.0 g cm⁻³.